NbNiIrO2: optimized geometry, GGA+U.

Lattice parameters (Å, degrees): 3.8585 5.3639 3.8585 90.00 90.00 90.00
With the nearest neighbours (Å) after each atom.
Element x y z (fractional)
Ni 0.5000 0.5000 0.5000  4 Ir 2.73
Nb 0.0000 0.0000 0.0000  4 O 1.93
Ir 0.0000 0.5000 0.0000  2 Nb 2.68, 4 Ni 2.73
O 0.0000 0.0000 0.5000  2 Nb 1.93
O 0.5000 0.0000 0.0000  2 Nb 1.93

Calculated values
E, eV/atom: -6.7233
Volume, Å³/atom: 15.971
Crystal system: tetragonal